Record 1
DFT (PBE) results for HfGa2Rh after structural relaxation.

Calculated volume (Å³ per cell): 64.7

Unit cell a=3.084 b=3.084 c=6.804 alpha=90.00 beta=90.00 gamma=90.00
Space group P4/mmm (No. 123)
One atom of each set of equivalent atoms:
1 Hf 0.000 0.000 0.000
2 Ga 0.500 0.500 0.284
3 Rh 0.000 0.000 0.500

=====

Record 2
DFT (PBE) results for HfGa2Rh after structural relaxation.

Calculated volume (Å³ per cell): 269.6

Unit cell a=8.069 b=6.417 c=5.207 alpha=90.00 beta=90.00 gamma=90.00
Space group Pnma (No. 62)
One atom of each set of equivalent atoms:
1 Hf 0.039 0.250 0.120
2 Ga 0.191 0.046 0.631
3 Rh 0.083 0.750 0.365

=====

Record 3
DFT (PBE) results for HfGa3Rh after structural relaxation.

Distance to the lowest polymorph of the same formula (meV/atom): 1570
Calculated volume (Å³ per cell): 128.4

Unit cell a=5.044 b=5.044 c=5.044 alpha=90.00 beta=90.00 gamma=90.00
Space group Pm-3m (No. 221)
One atom of each set of equivalent atoms:
1 Hf 0.000 0.000 0.000
2 Ga 0.000 0.000 0.500
3 Rh 0.500 0.500 0.500

=====

Record 4
DFT (PBE) results for Hf4Ga6Rh7 after structural relaxation.

Calculated volume (Å³ per cell): 548.0

Unit cell a=8.183 b=8.183 c=8.183 alpha=90.00 beta=90.00 gamma=90.00
Space group Im-3m (No. 229)
One atom of each set of equivalent atoms:
1 Hf 0.250 0.250 0.250
2 Ga 0.000 0.000 0.310
3 Rh 0.000 0.000 0.000
4 Rh 0.000 0.250 0.500

=====

Record 5
DFT (PBE) results for HfGa2Rh after structural relaxation.

Calculated volume (Å³ per cell): 265.0

Unit cell a=6.481 b=4.062 c=10.064 alpha=90.00 beta=90.00 gamma=90.00
Space group Pnma (No. 62)
One atom of each set of equivalent atoms:
1 Hf 0.229 0.250 0.170
2 Ga 0.048 0.750 0.338
3 Ga 0.220 0.250 0.463
4 Rh 0.061 0.250 0.902

=====

Record 6
DFT (PBE) results for Hf2GaRh after structural relaxation.

Calculated volume (Å³ per cell): 227.9

Unit cell a=3.2287 b=3.2287 c=25.2448 alpha=90.00 beta=90.00 gamma=120.00
Space group R-3m (No. 166, hexagonal axes)
One atom of each set of equivalent atoms:
1 Hf 0.0000 0.0000 0.2460
2 Ga 0.0000 0.0000 0.0000
3 Rh 0.0000 0.0000 0.5000

=====

Record 7
DFT (PBE) results for Hf2GaRh after structural relaxation.

Calculated volume (Å³ per cell): 71.6

Unit cell a=4.420 b=4.420 c=3.665 alpha=90.00 beta=90.00 gamma=90.00
Space group P4/mmm (No. 123)
One atom of each set of equivalent atoms:
1 Hf 0.000 0.500 0.000
2 Ga 0.000 0.000 0.500
3 Rh 0.500 0.500 0.500

=====

Record 8
DFT (PBE) results for HfGa2Rh4 after structural relaxation.

Calculated volume (Å³ per cell): 280.9

Unit cell a=4.757 b=4.757 c=12.412 alpha=90.00 beta=90.00 gamma=90.00
Space group I4/mmm (No. 139)
One atom of each set of equivalent atoms:
1 Hf 0.000 0.000 0.000
2 Ga 0.000 0.000 0.390
3 Rh 0.000 0.000 0.197
4 Rh 0.000 0.500 0.000

=====

Record 9
DFT (PBE) results for Hf2GaRh6 after structural relaxation.

Calculated volume (Å³ per cell): 320.9

Unit cell a=13.241 b=6.038 c=4.235 alpha=90.00 beta=108.61 gamma=90.00
Space group C2/m (No. 12)
One atom of each set of equivalent atoms:
1 Hf 0.164 0.000 0.162
2 Ga 0.000 0.500 0.500
3 Rh 0.000 0.266 0.000
4 Rh 0.163 0.256 0.662

=====

Record 10
DFT (PBE) results for HfGa2Rh after structural relaxation.

Calculated volume (Å³ per cell): 284.3

Unit cell a=7.205 b=7.205 c=5.477 alpha=90.00 beta=90.00 gamma=90.00
Space group I-42d (No. 122)
One atom of each set of equivalent atoms:
1 Hf 0.000 0.000 0.000
2 Ga 0.218 0.250 0.625
3 Rh 0.000 0.000 0.500

=====

Record 11
DFT (PBE) results for Hf6GaRh after structural relaxation.

Calculated volume (Å³ per cell): 347.1

Unit cell a=6.057 b=10.665 c=6.130 alpha=90.00 beta=118.78 gamma=90.00
Space group C2/m (No. 12)
One atom of each set of equivalent atoms:
1 Hf 0.246 0.208 0.250
2 Hf 0.248 0.000 0.757
3 Ga 0.000 0.500 0.500
4 Rh 0.000 0.000 0.000

=====

Record 12
DFT (PBE) results for HfGa2Rh after structural relaxation.

Calculated volume (Å³ per cell): 260.2

Unit cell a=6.384 b=6.384 c=6.384 alpha=90.00 beta=90.00 gamma=90.00
Space group Fm-3m (No. 225)
One atom of each set of equivalent atoms:
1 Hf 0.000 0.000 0.000
2 Ga 0.250 0.250 0.250
3 Rh 0.000 0.000 0.500

=====

In Ry per atom, the E_tot values for the records above are, in order, -0.4692 -0.4728 -0.3082 -0.5280 -0.4766 -0.5856 -0.6001 -0.4482 -0.5709 -0.4531 -0.6383 -0.4604.
In eV per atom, the formation energy from the elements values for the records above are, in order, -0.54 -0.59 1.08 -0.75 -0.65 -0.40 -0.59 0.39 -0.32 -0.32 0.08 -0.42.